(1)
Pm12DyHo7: relaxed, PBE-GGA.

## Properties
The crystal system is trigonal. The total DFT energy (no corrections) comes out at -88.753 eV per cell. The space group is R-3m. The value obtained for the energy above the most stable polymorph in this dataset is 0.000 eV/atom.

Cell: 11.500 11.500 11.500 Å, 116.86 116.86 116.86°
Sites, in units of the cell vectors:
Pm1 0.000 0.413 0.587
Pm2 0.000 0.587 0.413
Pm3 0.085 0.085 0.439
Pm4 0.085 0.439 0.085
Pm5 0.413 0.000 0.587
Pm6 0.413 0.587 0.000
Pm7 0.439 0.085 0.085
Pm8 0.561 0.915 0.915
Pm9 0.587 0.000 0.413
Pm10 0.587 0.413 0.000
Pm11 0.915 0.561 0.915
Pm12 0.915 0.915 0.561
Dy1 0.500 0.500 0.500
Ho1 0.000 0.000 0.000
Ho2 0.130 0.374 0.374
Ho3 0.374 0.130 0.374
Ho4 0.374 0.374 0.130
Ho5 0.626 0.626 0.870
Ho6 0.626 0.870 0.626
Ho7 0.870 0.626 0.626

(2)
Pm2Dy2Ho5: relaxed, PBE-GGA.

## Properties
The crystal system is orthorhombic. The total DFT energy (no corrections) comes out at -79.293 eV per cell. The space group is Ima2. The value obtained for the energy above the most stable polymorph in this dataset is 0.211 eV/atom.

Cell: 10.059 10.059 10.059 Å, 84.49 108.61 140.98°
Sites, in units of the cell vectors:
Pm1 0.003 0.127 0.130
Pm2 0.003 0.373 0.376
Pm3 0.997 0.627 0.624
Pm4 0.997 0.873 0.870
Dy1 0.438 0.700 0.238
Dy2 0.462 0.200 0.762
Dy3 0.544 0.044 0.500
Dy4 0.544 0.544 0.000
Ho1 0.105 0.298 0.702
Ho2 0.105 0.903 0.307
Ho3 0.398 0.400 0.498
Ho4 0.435 0.028 0.121
Ho5 0.435 0.814 0.907
Ho6 0.596 0.403 0.298
Ho7 0.596 0.798 0.693
Ho8 0.902 0.900 0.502
Ho9 0.907 0.314 0.879
Ho10 0.907 0.528 0.093

(3)
Pm2Dy7Ho3: relaxed, PBE-GGA.

## Properties
The crystal system is orthorhombic. The total DFT energy (no corrections) comes out at -54.102 eV per cell. The space group is Cmmm. The value obtained for the energy above the most stable polymorph in this dataset is 0.000 eV/atom.

Cell: 19.061 19.061 3.601 Å, 90.00 90.00 162.85°
Sites, in units of the cell vectors:
Pm1 0.147 0.853 0.000
Pm2 0.853 0.147 0.000
Dy1 0.000 0.000 0.000
Dy2 0.071 0.929 0.500
Dy3 0.231 0.769 0.000
Dy4 0.410 0.590 0.000
Dy5 0.590 0.410 0.000
Dy6 0.769 0.231 0.000
Dy7 0.929 0.071 0.500
Ho1 0.314 0.686 0.500
Ho2 0.500 0.500 0.500
Ho3 0.686 0.314 0.500

(4)
PmDy2Ho8: relaxed, PBE-GGA.

## Properties
The crystal system is monoclinic. The total DFT energy (no corrections) comes out at -48.885 eV per cell. The space group is C2/m. The value obtained for the energy above the most stable polymorph in this dataset is 0.039 eV/atom.

Cell: 10.114 10.114 5.514 Å, 92.71 92.71 39.97°
Sites, in units of the cell vectors:
Pm1 0.000 0.000 0.000
Dy1 0.284 0.284 0.750
Dy2 0.716 0.716 0.250
Ho1 0.133 0.601 0.268
Ho2 0.188 0.188 0.233
Ho3 0.399 0.867 0.732
Ho4 0.453 0.453 0.762
Ho5 0.547 0.547 0.238
Ho6 0.601 0.133 0.268
Ho7 0.812 0.812 0.767
Ho8 0.867 0.399 0.732